Below is Li2Ca2YMg5 after structural relaxation, with properties calculated at the PBE-GGA level.

a b c (Å): 10.9900 10.9900 4.3666
angles (deg): 90.00 90.00 90.00
Space group P4/mbm (No. 127)
Asymmetric unit:
Li 0.1163 0.3837 0.0000 x4
Ca 0.1808 0.6808 0.0000 x4
Y 0.0000 0.0000 0.0000 x2
Mg 0.0000 0.5000 0.5000 x2
Mg 0.0607 0.2127 0.5000 x8

The uncorrected energy comes out at -45.63 eV/cell. The magnetic moment comes out at 0.0000 μB/atom.